# Cs2PaGaTe4 (PBE-GGA, relaxed)
# Uncorrected formation energy (meV per atom): -678
# Mass density (Mg/m³): 4.91
data_Cs2PaGaTe4
_chemical_formula_sum 'Cs4 Pa2 Ga2 Te8'
_cell_length_a 9.165
_cell_length_b 9.165
_cell_length_c 8.663
_cell_angle_alpha 90.00
_cell_angle_beta 90.00
_cell_angle_gamma 90.00
_space_group_name_H-M_alt 'I -4 2 m'
_space_group_IT_number 121
_space_group_name_Hall 'I -4 2'
loop_
_atom_site_label
_atom_site_fract_x
_atom_site_fract_y
_atom_site_fract_z
_atom_site_occupancy
Cs1 0.000 0.500 0.000 1
Pa1 0.000 0.000 0.000 1
Ga1 0.000 0.000 0.500 1
Te1 0.158 0.158 0.764 1